No. 1
# AlSiSe2, relaxed, DFT PBE
data_AlSiSe2
_chemical_formula_sum 'Al1 Si1 Se2'
_symmetry_space_group_name_H-M 'P 4/m m m'
_symmetry_Int_Tables_number 123
_symmetry_space_group_name_Hall '-P 4 2'
_cell_length_a 3.331
_cell_length_b 3.331
_cell_length_c 6.658
_cell_angle_alpha 90.00
_cell_angle_beta 90.00
_cell_angle_gamma 90.00
loop_
_atom_site_label
_atom_site_type_symbol
_atom_site_fract_x
_atom_site_fract_y
_atom_site_fract_z
_atom_site_occupancy
Al1 Al 0.000 0.000 0.000 1
Si1 Si 0.000 0.000 0.500 1
Se1 Se 0.500 0.500 0.245 1
# - Energy above the most stable polymorph in this dataset: 553.0 meV/atom
# - Raw formation energy: 184 meV/atom
# - M_tot: 0.00 μB/atom
# - Raw total energy: -3.850 eV/atom

No. 2
# CdIn2Se, relaxed, DFT PBE
data_CdIn2Se
_chemical_formula_sum 'Cd1 In2 Se1'
_symmetry_space_group_name_H-M 'P 1 m 1'
_symmetry_Int_Tables_number 6
_symmetry_space_group_name_Hall 'P -2y'
_cell_length_a 5.347
_cell_length_b 4.146
_cell_length_c 5.420
_cell_angle_alpha 90.00
_cell_angle_beta 109.63
_cell_angle_gamma 90.00
loop_
_atom_site_label
_atom_site_type_symbol
_atom_site_fract_x
_atom_site_fract_y
_atom_site_fract_z
_atom_site_occupancy
Cd1 Cd 0.000 0.000 0.000 1
In1 In 0.262 0.500 0.736 1
In2 In 0.552 0.000 0.451 1
Se1 Se 0.776 0.500 0.231 1
# - Energy above the most stable polymorph in this dataset: 28.9 meV/atom
# - Raw formation energy: -165 meV/atom
# - M_tot: 0.00 μB/atom
# - Raw total energy: -2.634 eV/atom